# LaYThCd PBE optimized geometry
# Theoretical density   7.8 Mg/m³
# Relative energy among the computed polymorphs   1.00 eV/f.u.
# Electronic total energy   -77.70 eV for the cell shown
# ΔE_f   0.075 eV/atom
# Total magnetic moment   0.07 μB/cell
data_LaYThCd
_space_group_name_H-M_alt 'F -4 3 m'
_space_group_IT_number 216
_space_group_name_Hall 'F -4 2 3'
_cell_length_a 7.8816
_cell_length_b 7.8816
_cell_length_c 7.8816
_cell_angle_alpha 90.00
_cell_angle_beta 90.00
_cell_angle_gamma 90.00
loop_
_atom_site_label
_atom_site_type_symbol
_atom_site_fract_x
_atom_site_fract_y
_atom_site_fract_z
La1 La 0.0000 0.0000 0.0000
Y1 Y 0.0000 0.0000 0.5000
Th1 Th 0.2500 0.2500 0.7500
Cd1 Cd 0.2500 0.2500 0.2500